## AcPmAl (GGA-PBE)

Data for a relaxed AcPmAl crystal.

```
AcPmAl
1.0
3.957 0.000 0.000
0.000 5.294 0.000
0.000 -2.647 4.584
Ac Al Pm
1 1 1
direct
0.981 0.000 0.000
0.602 0.667 0.333
0.417 0.333 0.667
```

Energy above the lowest structure with this stoichiometry: 0.22 eV/f.u.
Total magnetization: 0.000 μB per atom
Energy of formation: -20.9 kJ/mol of formula units
Energy: -4.273 eV/atom


## ZrSc2Mo (GGA-PBE)

Data for a relaxed ZrSc2Mo crystal.

```
ZrSc2Mo
1.0
3.307 0.000 0.000
0.000 3.307 0.000
0.000 0.000 7.665
Zr Sc Mo
1 2 1
direct
0.500 0.500 0.250
0.000 0.000 0.541
0.000 0.000 0.959
0.500 0.500 0.750
```

Energy above the lowest structure with this stoichiometry: 0.51 eV/f.u.
Total magnetization: 0.000 μB per atom
Energy of formation: 71.5 kJ/mol of formula units
Energy: -7.825 eV/atom